# meta-GGA SCAN NiRuRh, single point on PBEsol structure
data_NiRuRh
_cell_length_a 2.6287
_cell_length_b 2.6287
_cell_length_c 6.2864
_cell_angle_alpha 90.00
_cell_angle_beta 90.00
_cell_angle_gamma 120.00
_space_group_name_H-M_alt 'P 3 m 1'
_space_group_IT_number 156
loop_
_space_group_symop_operation_xyz
'x,y,z'
'-y,x-y,z'
'-x+y,-x,z'
'-y,-x,z'
'-x+y,y,z'
'x,x-y,z'
loop_
_atom_site_label
_atom_site_type_symbol
_atom_site_fract_x
_atom_site_fract_y
_atom_site_fract_z
_atom_site_occupancy
Ni1 Ni 0.0000 0.0000 0.0000 1
Ru1 Ru 0.3333 0.6667 0.3232 1
Rh1 Rh 0.6667 0.3333 0.6653 1
# - Electronic total energy: -28.137 eV per atom
# - Excess energy over the best structure of this formula in the dataset: 0.18 eV per formula unit
# - Spin magnetization: 0.8 μB per formula unit
# - ΔH_f (0 K): 120.5 meV/atom

=====

# meta-GGA SCAN NiRuRh2, single point on PBEsol structure
data_NiRuRh2
_cell_length_a 2.6401
_cell_length_b 2.6401
_cell_length_c 25.4459
_cell_angle_alpha 90.00
_cell_angle_beta 90.00
_cell_angle_gamma 120.00
_space_group_name_H-M_alt 'R 3 m'
_space_group_IT_number 160
_space_group_name_Hall 'R 3 -2"'
loop_
_atom_site_label
_atom_site_type_symbol
_atom_site_fract_x
_atom_site_fract_y
_atom_site_fract_z
_atom_site_occupancy
Ni1 Ni 0.0000 0.0000 0.0000 1
Ru1 Ru 0.0000 0.0000 0.7467 1
Rh1 Rh 0.0000 0.0000 0.2519 1
Rh2 Rh 0.0000 0.0000 0.4979 1
# - Electronic total energy: -29.552 eV per atom
# - Excess energy over the best structure of this formula in the dataset: 0.16 eV per formula unit
# - Spin magnetization: 1.1 μB per formula unit
# - ΔH_f (0 K): 83.3 meV/atom

=====

# meta-GGA SCAN NiRuRh2, single point on PBEsol structure
data_NiRuRh2
_cell_length_a 8.688
_cell_length_b 2.643
_cell_length_c 4.523
_cell_angle_alpha 90.00
_cell_angle_beta 100.30
_cell_angle_gamma 90.00
_space_group_name_H-M_alt 'C 1 m 1'
_space_group_IT_number 8
loop_
_space_group_symop_operation_xyz
'x,y,z'
'x,-y,z'
'x+1/2,y+1/2,z'
'x+1/2,-y+1/2,z'
loop_
_atom_site_label
_atom_site_type_symbol
_atom_site_fract_x
_atom_site_fract_y
_atom_site_fract_z
_atom_site_occupancy
Ni1 Ni 0.000 0.000 0.000 1
Ru1 Ru 0.253 0.000 0.749 1
Rh1 Rh 0.002 0.500 0.510 1
Rh2 Rh 0.249 0.500 0.239 1
# - Electronic total energy: -29.544 eV per atom
# - Excess energy over the best structure of this formula in the dataset: 0.20 eV per formula unit
# - Spin magnetization: 0.0 μB per formula unit
# - ΔH_f (0 K): 91.7 meV/atom

=====

# meta-GGA SCAN NiRuRh2, single point on PBEsol structure
data_NiRuRh2
_cell_length_a 2.6451
_cell_length_b 2.6451
_cell_length_c 25.3536
_cell_angle_alpha 90.00
_cell_angle_beta 90.00
_cell_angle_gamma 120.00
_space_group_name_H-M_alt 'R -3 m'
_space_group_IT_number 166
_space_group_name_Hall '-R 3 2"'
loop_
_atom_site_label
_atom_site_type_symbol
_atom_site_fract_x
_atom_site_fract_y
_atom_site_fract_z
_atom_site_occupancy
Ni1 Ni 0.0000 0.0000 0.0000 1
Ru1 Ru 0.0000 0.0000 0.5000 1
Rh1 Rh 0.0000 0.0000 0.2514 1
# - Electronic total energy: -29.571 eV per atom
# - Excess energy over the best structure of this formula in the dataset: 0.09 eV per formula unit
# - Spin magnetization: 1.0 μB per formula unit
# - ΔH_f (0 K): 64.9 meV/atom

=====

# meta-GGA SCAN Ni2RhS4, single point on PBEsol structure
data_Ni2RhS4
_cell_length_a 6.658
_cell_length_b 6.714
_cell_length_c 9.434
_cell_angle_alpha 90.00
_cell_angle_beta 90.00
_cell_angle_gamma 90.00
_space_group_name_H-M_alt 'I m m a'
_space_group_IT_number 74
_space_group_name_Hall '-I 2b 2'
loop_
_atom_site_label
_atom_site_type_symbol
_atom_site_fract_x
_atom_site_fract_y
_atom_site_fract_z
_atom_site_occupancy
Ni1 Ni 0.000 0.250 0.125 1
Ni2 Ni 0.250 0.250 0.750 1
Rh1 Rh 0.000 0.000 0.500 1
S1 S 0.000 0.017 0.748 1
S2 S 0.241 0.250 0.511 1
# - Electronic total energy: -15.484 eV per atom
# - Spin magnetization: 0.0 μB per formula unit
# - Formation energy (no corrections): -536 meV/atom

=====

# meta-GGA SCAN Ta2NiRhS, single point on PBEsol structure
data_Ta2NiRhS
_cell_length_a 4.798
_cell_length_b 4.798
_cell_length_c 4.225
_cell_angle_alpha 90.00
_cell_angle_beta 90.00
_cell_angle_gamma 90.00
_space_group_name_H-M_alt 'P 4/m m m'
_space_group_IT_number 123
_space_group_name_Hall '-P 4 2'
loop_
_atom_site_label
_atom_site_type_symbol
_atom_site_fract_x
_atom_site_fract_y
_atom_site_fract_z
_atom_site_occupancy
Ta1 Ta 0.000 0.500 0.000 1
Ni1 Ni 0.000 0.000 0.500 1
Rh1 Rh 0.500 0.500 0.000 1
S1 S 0.500 0.500 0.500 1
# - Electronic total energy: -37.150 eV per atom
# - Spin magnetization: 0.0 μB per formula unit
# - Formation energy (no corrections): 1398 meV/atom

=====

# meta-GGA SCAN Ni6SbRh, single point on PBEsol structure
data_Ni6SbRh
_cell_length_a 7.221
_cell_length_b 10.221
_cell_length_c 10.231
_cell_angle_alpha 90.00
_cell_angle_beta 90.00
_cell_angle_gamma 90.00
_space_group_name_H-M_alt 'C m m m'
_space_group_IT_number 65
_space_group_name_Hall '-C 2 2'
loop_
_atom_site_label
_atom_site_type_symbol
_atom_site_fract_x
_atom_site_fract_y
_atom_site_fract_z
_atom_site_occupancy
Ni1 Ni 0.000 0.000 0.000 1
Ni2 Ni 0.000 0.000 0.500 1
Ni3 Ni 0.000 0.247 0.246 1
Ni4 Ni 0.000 0.500 0.000 1
Ni5 Ni 0.000 0.500 0.500 1
Ni6 Ni 0.246 0.124 0.372 1
Ni7 Ni 0.246 0.127 0.122 1
Sb1 Sb 0.000 0.251 0.500 1
Sb2 Sb 0.000 0.500 0.246 1
Rh1 Rh 0.000 0.000 0.245 1
Rh2 Rh 0.000 0.252 0.000 1
# - Electronic total energy: -21.022 eV per atom
# - Spin magnetization: 4.0 μB per formula unit
# - Formation energy (no corrections): -13 meV/atom

=====

# meta-GGA SCAN NiSbRh2, single point on PBEsol structure
data_NiSbRh2
_cell_length_a 9.124
_cell_length_b 3.018
_cell_length_c 4.403
_cell_angle_alpha 90.00
_cell_angle_beta 108.48
_cell_angle_gamma 90.00
_space_group_name_H-M_alt 'C 1 m 1'
_space_group_IT_number 8
loop_
_space_group_symop_operation_xyz
'x,y,z'
'x,-y,z'
'x+1/2,y+1/2,z'
'x+1/2,-y+1/2,z'
loop_
_atom_site_label
_atom_site_type_symbol
_atom_site_fract_x
_atom_site_fract_y
_atom_site_fract_z
_atom_site_occupancy
Ni1 Ni 0.000 0.000 0.000 1
Sb1 Sb 0.270 0.000 0.682 1
Rh1 Rh 0.020 0.500 0.498 1
Rh2 Rh 0.241 0.500 0.155 1
# - Electronic total energy: -30.336 eV per atom
# - Spin magnetization: 1.6 μB per formula unit
# - Formation energy (no corrections): -92 meV/atom

=====

# meta-GGA SCAN NiSbRh2, single point on PBEsol structure
data_NiSbRh2
_cell_length_a 6.120
_cell_length_b 6.120
_cell_length_c 6.120
_cell_angle_alpha 90.00
_cell_angle_beta 90.00
_cell_angle_gamma 90.00
_space_group_name_H-M_alt 'F -4 3 m'
_space_group_IT_number 216
_space_group_name_Hall 'F -4 2 3'
loop_
_atom_site_label
_atom_site_type_symbol
_atom_site_fract_x
_atom_site_fract_y
_atom_site_fract_z
_atom_site_occupancy
Ni1 Ni 0.000 0.000 0.000 1
Sb1 Sb 0.250 0.250 0.750 1
Rh1 Rh 0.000 0.000 0.500 1
Rh2 Rh 0.250 0.250 0.250 1
# - Electronic total energy: -30.283 eV per atom
# - Spin magnetization: 0.0 μB per formula unit
# - Formation energy (no corrections): -39 meV/atom

=====

# meta-GGA SCAN NiSb3Rh, single point on PBEsol structure
data_NiSb3Rh
_cell_length_a 4.789
_cell_length_b 4.789
_cell_length_c 4.789
_cell_angle_alpha 90.00
_cell_angle_beta 90.00
_cell_angle_gamma 90.00
_space_group_name_H-M_alt 'P m -3 m'
_space_group_IT_number 221
_space_group_name_Hall '-P 4 2 3'
loop_
_atom_site_label
_atom_site_type_symbol
_atom_site_fract_x
_atom_site_fract_y
_atom_site_fract_z
_atom_site_occupancy
Ni1 Ni 0.000 0.000 0.000 1
Sb1 Sb 0.000 0.000 0.500 1
Rh1 Rh 0.500 0.500 0.500 1
# - Electronic total energy: -31.744 eV per atom
# - Spin magnetization: 0.0 μB per formula unit
# - Formation energy (no corrections): 601 meV/atom

=====

# meta-GGA SCAN NiSbRh2, single point on PBEsol structure
data_NiSbRh2
_cell_length_a 3.995
_cell_length_b 3.995
_cell_length_c 7.081
_cell_angle_alpha 90.00
_cell_angle_beta 90.00
_cell_angle_gamma 90.00
_space_group_name_H-M_alt 'I 4/m m m'
_space_group_IT_number 139
_space_group_name_Hall '-I 4 2'
loop_
_atom_site_label
_atom_site_type_symbol
_atom_site_fract_x
_atom_site_fract_y
_atom_site_fract_z
_atom_site_occupancy
Ni1 Ni 0.000 0.000 0.000 1
Sb1 Sb 0.000 0.000 0.500 1
Rh1 Rh 0.000 0.500 0.250 1
# - Electronic total energy: -30.513 eV per atom
# - Spin magnetization: 1.1 μB per formula unit
# - Formation energy (no corrections): -269 meV/atom

=====

# meta-GGA SCAN NiSbRh2, single point on PBEsol structure
data_NiSbRh2
_cell_length_a 2.9298
_cell_length_b 2.9298
_cell_length_c 24.1152
_cell_angle_alpha 90.00
_cell_angle_beta 90.00
_cell_angle_gamma 120.00
_space_group_name_H-M_alt 'R 3 m'
_space_group_IT_number 160
_space_group_name_Hall 'R 3 -2"'
loop_
_atom_site_label
_atom_site_type_symbol
_atom_site_fract_x
_atom_site_fract_y
_atom_site_fract_z
_atom_site_occupancy
Ni1 Ni 0.0000 0.0000 0.0000 1
Sb1 Sb 0.0000 0.0000 0.2537 1
Rh1 Rh 0.0000 0.0000 0.5009 1
Rh2 Rh 0.0000 0.0000 0.7472 1
# - Electronic total energy: -29.947 eV per atom
# - Spin magnetization: 1.5 μB per formula unit
# - Formation energy (no corrections): 297 meV/atom

=====

# meta-GGA SCAN NiSbRh2, single point on PBEsol structure
data_NiSbRh2
_cell_length_a 3.909
_cell_length_b 3.909
_cell_length_c 3.707
_cell_angle_alpha 90.00
_cell_angle_beta 90.00
_cell_angle_gamma 90.00
_space_group_name_H-M_alt 'P 4/m m m'
_space_group_IT_number 123
_space_group_name_Hall '-P 4 2'
loop_
_atom_site_label
_atom_site_type_symbol
_atom_site_fract_x
_atom_site_fract_y
_atom_site_fract_z
_atom_site_occupancy
Ni1 Ni 0.000 0.000 0.000 1
Sb1 Sb 0.500 0.500 0.000 1
Rh1 Rh 0.000 0.500 0.500 1
# - Electronic total energy: -30.484 eV per atom
# - Spin magnetization: 0.9 μB per formula unit
# - Formation energy (no corrections): -240 meV/atom

=====

# meta-GGA SCAN NiSbRh2, single point on PBEsol structure
data_NiSbRh2
_cell_length_a 3.293
_cell_length_b 3.293
_cell_length_c 5.410
_cell_angle_alpha 90.00
_cell_angle_beta 90.00
_cell_angle_gamma 90.00
_space_group_name_H-M_alt 'P 4 m m'
_space_group_IT_number 99
loop_
_space_group_symop_operation_xyz
'x,y,z'
'-y,x,z'
'-x,-y,z'
'y,-x,z'
'-x,y,z'
'y,x,z'
'x,-y,z'
'-y,-x,z'
loop_
_atom_site_label
_atom_site_type_symbol
_atom_site_fract_x
_atom_site_fract_y
_atom_site_fract_z
_atom_site_occupancy
Ni1 Ni 0.000 0.000 0.000 1
Sb1 Sb 0.500 0.500 0.721 1
Rh1 Rh 0.000 0.000 0.478 1
Rh2 Rh 0.500 0.500 0.194 1
# - Electronic total energy: -30.266 eV per atom
# - Spin magnetization: 1.4 μB per formula unit
# - Formation energy (no corrections): -21 meV/atom